1.
# ZnWBr2

A geometry-optimized ZnWBr2 structure (PBE, Alexandria).

Its spin magnetization is 2.238 μB/f.u. The calculation puts the formation energy (no corrections) at 933 meV per atom.

It has space group Pmmm (No. 47), with a = 3.172 Å, b = 4.482 Å, c = 5.885 Å, α = 90.00°, β = 90.00° and γ = 90.00°. The distinct sites, in fractional coordinates, are Zn at (0.000, 0.000, 0.000), W at (0.500, 0.000, 0.500), Br at (0.000, 0.500, 0.500) and Br at (0.500, 0.500, 0.000).

2.
# NaMgZn2Ir

A geometry-optimized NaMgZn2Ir structure (PBE, Alexandria).

The formation energy from the elements is -0.3 eV/f.u. Its spin magnetization is 0.000 μB/f.u.

It has space group P4/mmm (No. 123), with a = 4.883 Å, b = 4.883 Å, c = 4.958 Å, α = 90.00°, β = 90.00° and γ = 90.00°. The distinct sites, in fractional coordinates, are Na at (0.000, 0.000, 0.000), Mg at (0.500, 0.500, 0.000), Zn at (0.000, 0.500, 0.500) and Ir at (0.500, 0.500, 0.500).

3.
# Th4Sb3

A geometry-optimized Th4Sb3 structure (PBE, Alexandria).

Its spin magnetization is 0.000 μB/f.u. The calculation puts the formation energy (no corrections) at -570 meV per atom.

It has space group R-3m (No. 166, hexagonal axes), with a = 5.3566 Å, b = 5.3566 Å, c = 26.7452 Å, α = 90.00°, β = 90.00° and γ = 120.00°. The distinct sites, in fractional coordinates, are Th at (0.0000, 0.0000, 0.1224), Th at (0.0000, 0.0000, 0.3731), Sb at (0.0000, 0.0000, 0.0000) and Sb at (0.0000, 0.0000, 0.2437).

4.
# CdTcBr2

A geometry-optimized CdTcBr2 structure (PBE, Alexandria).

Its spin magnetization is 1.999 μB/f.u. The calculation puts the formation energy (no corrections) at 85 meV per atom.

It has space group Cmmm (No. 65), with a = 5.631 Å, b = 13.166 Å, c = 3.531 Å, α = 90.00°, β = 90.00° and γ = 90.00°. The distinct sites, in fractional coordinates, are Cd at (0.000, 0.000, 0.000), Tc at (0.000, 0.500, 0.000) and Br at (0.000, 0.361, 0.500).

5.
# BeCdRe2

A geometry-optimized BeCdRe2 structure (PBE, Alexandria).

The formation energy from the elements is 1.6 eV/f.u. Its spin magnetization is 0.000 μB/f.u.

It has space group Cmm2 (No. 35), with a = 2.942 Å, b = 4.628 Å, c = 8.887 Å, α = 90.00°, β = 90.00° and γ = 90.00°. The distinct sites, in fractional coordinates, are Be at (0.000, 0.000, 0.000), Cd at (0.000, 0.500, 0.750), Re at (0.000, 0.000, 0.457) and Re at (0.000, 0.500, 0.213).

6.
# LiMnAu3

A geometry-optimized LiMnAu3 structure (PBE, Alexandria).

The formation energy from the elements is 1.6 eV/f.u. Its spin magnetization is 4.458 μB/f.u.

It has space group Pm-3m (No. 221), with a = 4.477 Å, b = 4.477 Å, c = 4.477 Å, α = 90.00°, β = 90.00° and γ = 90.00°. The distinct sites, in fractional coordinates, are Li at (0.000, 0.000, 0.000), Mn at (0.500, 0.500, 0.500) and Au at (0.000, 0.000, 0.500).